Compound: Ba2BeMo
Source: Alexandria
Functional: meta-GGA SCAN
Structure: PBEsol geometry

a b c (Å): 3.557 3.557 10.236
angles (deg): 79.97 79.97 60.12
Last column: magnetic moment on the atom in μB.
Element x y z (fractional)
Ba  0.251  0.251  0.248  -0.08
Be  0.500  0.500  0.500  -0.07
Mo  0.000  0.000  0.000  2.18
Ba  0.749  0.749  0.752  -0.08

## Properties
Final energy ... -112.8 eV for the cell shown
Volume ... 110.0 Å³/cell
ΔE_f ... 1.37 eV per atom

Compound: Mg2ZnW
Source: Alexandria
Functional: meta-GGA SCAN
Structure: PBEsol geometry

a b c (Å): 2.900 4.825 4.825
angles (deg): 90.00 90.00 90.00
Element x y z (fractional)
Zn  0.500  0.000  0.000
Mg  0.000  0.000  0.500
W  0.500  0.500  0.500
Mg  0.000  0.500  0.000

## Properties
Final energy ... -91.1 eV for the cell shown
Volume ... 67.5 Å³/cell
ΔE_f ... 0.52 eV per atom

Compound: Tl2TePb
Source: Alexandria
Functional: meta-GGA SCAN
Structure: PBEsol geometry

a b c (Å): 4.662 4.662 6.408
angles (deg): 111.33 111.33 90.00
Element x y z (fractional)
Tl  0.250  0.750  0.500
Pb  0.500  0.500  0.000
Te  0.000  0.000  0.000
Tl  0.750  0.250  0.500

## Properties
Final energy ... -258.3 eV for the cell shown
Volume ... 119.4 Å³/cell
Formation energy without anion corrections ... -0.13 eV/atom

Compound: HfAlIO2
Source: Alexandria
Functional: meta-GGA SCAN
Structure: PBEsol geometry

a b c (Å): 4.102 4.102 5.843
angles (deg): 90.00 90.00 90.00
Element x y z (fractional)
I  0.000  0.000  0.500
Al  0.500  0.500  0.500
O  0.500  0.000  0.000
Hf  0.000  0.000  0.000
O  0.000  0.500  0.000

## Properties
Final energy ... -127.2 eV for the cell shown
Volume ... 98.3 Å³/cell
Formation energy without anion corrections ... -1.51 eV/atom

Compound: Cs2LiYF6
Source: Alexandria
Functional: meta-GGA SCAN
Structure: PBEsol geometry

a b c (Å): 6.172 6.172 6.172
angles (deg): 60.00 60.00 60.00
Element x y z (fractional)
F  0.249  0.751  0.751
Li  0.500  0.500  0.500
Cs  0.250  0.250  0.250
F  0.751  0.249  0.249
F  0.751  0.249  0.751
F  0.751  0.751  0.249
Cs  0.750  0.750  0.750
Y  0.000  0.000  0.000
F  0.249  0.249  0.751
F  0.249  0.751  0.249

## Properties
Final energy ... -162.7 eV for the cell shown
Volume ... 166.3 Å³/cell
Formation energy without anion corrections ... -3.57 eV/atom

Compound: CuReBr4
Source: Alexandria
Functional: meta-GGA SCAN
Structure: PBEsol geometry

a b c (Å): 5.977 5.977 5.977
angles (deg): 60.00 60.00 60.00
Last column: magnetic moment on the atom in μB.
Element x y z (fractional)
Br  0.375  0.875  0.375  -0.11
Br  0.875  0.375  0.375  -0.11
Br  0.375  0.375  0.875  -0.11
Br  0.375  0.375  0.375  -0.11
Cu  0.750  0.750  0.750  -0.01
Re  0.000  0.000  0.000  3.98

## Properties
Final energy ... -153.4 eV for the cell shown
Volume ... 151.0 Å³/cell
Formation energy without anion corrections ... 1.79 eV/atom

Compound: SrCdHg2
Source: Alexandria
Functional: meta-GGA SCAN
Structure: PBEsol geometry

a b c (Å): 3.877 3.877 6.953
angles (deg): 90.00 90.00 90.00
Element x y z (fractional)
Cd  0.500  0.500  0.793
Hg  0.000  0.000  0.990
Sr  0.000  0.000  0.492
Hg  0.500  0.500  0.225

## Properties
Final energy ... -190.5 eV for the cell shown
Volume ... 104.5 Å³/cell
ΔE_f ... -0.37 eV per atom

Compound: ZnNiGe3
Source: Alexandria
Functional: meta-GGA SCAN
Structure: PBEsol geometry

a b c (Å): 4.653 4.653 4.653
angles (deg): 90.00 90.00 90.00
Element x y z (fractional)
Ge  0.000  0.000  0.500
Ni  0.500  0.500  0.500
Ge  0.000  0.500  0.000
Zn  0.000  0.000  0.000
Ge  0.500  0.000  0.000

## Properties
Final energy ... -81.6 eV for the cell shown
Volume ... 100.7 Å³/cell
ΔE_f ... 1.07 eV per atom

Compound: MnCrFe
Source: Alexandria
Functional: meta-GGA SCAN
Structure: PBEsol geometry

a b c (Å): 2.384 3.955 3.955
angles (deg): 120.00 90.00 90.00
Last column: magnetic moment on the atom in μB.
Element x y z (fractional)
Mn  0.310  0.667  0.333  2.20
Fe  0.680  0.333  0.667  2.35
Cr  0.009  0.000  0.000  -1.13

## Properties
Final energy ... -54.6 eV for the cell shown
Volume ... 32.3 Å³/cell
ΔE_f ... 0.06 eV per atom

Compound: TlCd2Cu
Source: Alexandria
Functional: meta-GGA SCAN
Structure: PBEsol geometry

a b c (Å): 3.104 3.104 8.409
angles (deg): 90.00 90.00 90.00
Element x y z (fractional)
Tl  0.500  0.500  0.500
Cd  0.000  0.000  0.192
Cu  0.500  0.500  0.000
Cd  0.000  0.000  0.808

## Properties
Final energy ... -148.0 eV for the cell shown
Volume ... 81.0 Å³/cell
ΔE_f ... 0.10 eV per atom

Compound: MoRuRh2
Source: Alexandria
Functional: meta-GGA SCAN
Structure: PBEsol geometry

a b c (Å): 4.311 4.311 4.311
angles (deg): 60.00 60.00 60.00
Last column: magnetic moment on the atom in μB.
Element x y z (fractional)
Mo  0.000  0.000  0.000  -0.31
Ru  0.500  0.500  0.500  1.12
Rh  0.750  0.750  0.750  0.33
Rh  0.250  0.250  0.250  0.33

## Properties
Final energy ... -135.8 eV for the cell shown
Volume ... 56.7 Å³/cell
ΔE_f ... 0.37 eV per atom

Compound: K3MoI
Source: Alexandria
Functional: meta-GGA SCAN
Structure: PBEsol geometry

a b c (Å): 6.722 6.722 6.722
angles (deg): 90.00 90.00 90.00
Last column: magnetic moment on the atom in μB.
Element x y z (fractional)
K  0.500  0.000  0.000  0.03
K  0.000  0.500  0.000  0.03
I  0.500  0.500  0.500  0.01
K  0.000  0.000  0.500  0.03
Mo  0.000  0.000  0.000  4.28

## Properties
Final energy ... -93.9 eV for the cell shown
Volume ... 303.8 Å³/cell
Formation energy without anion corrections ... 0.54 eV/atom

Compound: CrAg2W
Source: Alexandria
Functional: meta-GGA SCAN
Structure: PBEsol geometry

a b c (Å): 4.465 4.465 4.465
angles (deg): 60.00 60.00 60.00
Last column: magnetic moment on the atom in μB.
Element x y z (fractional)
Ag  0.250  0.250  0.250  0.01
Ag  0.750  0.750  0.750  0.01
Cr  0.000  0.000  0.000  3.58
W  0.500  0.500  0.500  -0.75

## Properties
Final energy ... -147.2 eV for the cell shown
Volume ... 63.0 Å³/cell
ΔE_f ... 0.91 eV per atom

Compound: La3Mg
Source: Alexandria
Functional: meta-GGA SCAN
Structure: PBEsol geometry

a b c (Å): 6.172 7.031 11.509
angles (deg): 90.00 90.00 90.00
Element x y z (fractional)
La  0.740  0.894  0.001
La  0.740  0.894  0.499
Mg  0.424  0.862  0.250
La  0.240  0.606  0.499
La  0.760  0.394  0.501
La  0.260  0.106  0.999
Mg  0.076  0.362  0.750
La  0.066  0.865  0.750
La  0.260  0.106  0.501
La  0.760  0.394  0.999
La  0.240  0.606  0.001
Mg  0.576  0.138  0.750
Mg  0.924  0.638  0.250
La  0.934  0.135  0.250
La  0.566  0.635  0.750
La  0.434  0.365  0.250

## Properties
Final energy ... -537.6 eV for the cell shown
Volume ... 499.4 Å³/cell
ΔE_f ... -0.03 eV per atom

Compound: CuTcAs2Se
Source: Alexandria
Functional: meta-GGA SCAN
Structure: PBEsol geometry

a b c (Å): 4.524 4.524 4.676
angles (deg): 90.00 90.00 90.00
Last column: magnetic moment on the atom in μB.
Element x y z (fractional)
As  0.000  0.500  0.000  -0.19
As  0.500  0.000  0.000  -0.19
Se  0.000  0.000  0.500  -0.09
Cu  0.000  0.000  0.000  0.00
Tc  0.500  0.500  0.500  3.54

## Properties
Final energy ... -105.7 eV for the cell shown
Volume ... 95.7 Å³/cell
Formation energy without anion corrections ... 1.00 eV/atom

Compound: Na3ZrRh
Source: Alexandria
Functional: meta-GGA SCAN
Structure: PBEsol geometry

a b c (Å): 5.080 5.080 5.080
angles (deg): 90.00 90.00 90.00
Last column: magnetic moment on the atom in μB.
Element x y z (fractional)
Na  0.500  0.000  0.000  0.01
Zr  0.500  0.500  0.500  1.48
Rh  0.000  0.000  0.000  -0.42
Na  0.000  0.000  0.500  0.01
Na  0.000  0.500  0.000  0.01

## Properties
Final energy ... -71.4 eV for the cell shown
Volume ... 131.1 Å³/cell
ΔE_f ... 1.14 eV per atom

Compound: Na2ZnPt2
Source: Alexandria
Functional: meta-GGA SCAN
Structure: PBEsol geometry

a b c (Å): 4.662 6.349 6.349
angles (deg): 90.00 90.00 90.00
Element x y z (fractional)
Na  0.500  0.168  0.668
Pt  0.000  0.141  0.359
Zn  0.000  0.500  0.500
Na  0.500  0.668  0.832
Pt  0.000  0.641  0.141
Pt  0.000  0.359  0.859
Pt  0.000  0.859  0.641
Na  0.500  0.332  0.168
Na  0.500  0.832  0.332
Zn  0.000  0.000  0.000

## Properties
Final energy ... -328.2 eV for the cell shown
Volume ... 187.9 Å³/cell
ΔE_f ... -0.36 eV per atom

Compound: CuReSi2
Source: Alexandria
Functional: meta-GGA SCAN
Structure: PBEsol geometry

a b c (Å): 3.055 4.075 4.075
angles (deg): 90.00 90.00 90.00
Element x y z (fractional)
Si  0.000  0.000  0.500
Re  0.500  0.000  0.000
Si  0.000  0.500  0.000
Cu  0.500  0.500  0.500

## Properties
Final energy ... -106.0 eV for the cell shown
Volume ... 50.7 Å³/cell
Formation energy without anion corrections ... 0.08 eV/atom

Compound: Ca2LaAl
Source: Alexandria
Functional: meta-GGA SCAN
Structure: PBEsol geometry

a b c (Å): 3.679 3.679 9.615
angles (deg): 90.00 90.00 90.00
Element x y z (fractional)
Ca  0.000  0.000  0.944
La  0.000  0.000  0.556
Al  0.500  0.500  0.749
Ca  0.500  0.500  0.251

## Properties
Final energy ... -70.7 eV for the cell shown
Volume ... 130.2 Å³/cell
ΔE_f ... -0.14 eV per atom

Compound: LiSb2Te
Source: Alexandria
Functional: meta-GGA SCAN
Structure: PBEsol geometry

a b c (Å): 3.203 3.203 9.837
angles (deg): 90.00 90.00 103.62
Element x y z (fractional)
Sb  0.500  0.500  0.773
Li  0.500  0.500  0.251
Te  0.000  0.000  0.452
Sb  0.000  0.000  0.024

## Properties
Final energy ... -114.5 eV for the cell shown
Volume ... 98.1 Å³/cell
Formation energy without anion corrections ... -0.09 eV/atom

Compound: ReOs
Source: Alexandria
Functional: meta-GGA SCAN
Structure: PBEsol geometry

a b c (Å): 2.743 4.361 4.749
angles (deg): 90.00 90.00 90.00
Element x y z (fractional)
Os  0.000  0.250  0.331
Os  0.000  0.750  0.669
Re  0.500  0.750  0.166
Re  0.500  0.250  0.834

## Properties
Final energy ... -286.4 eV for the cell shown
Volume ... 56.8 Å³/cell
ΔE_f ... -0.11 eV per atom

Compound: ZrB2I2
Source: Alexandria
Functional: meta-GGA SCAN
Structure: PBEsol geometry

a b c (Å): 3.301 7.620 7.620
angles (deg): 90.00 90.00 90.00
Element x y z (fractional)
I  0.000  0.854  0.646
I  0.000  0.354  0.854
Zr  0.000  0.000  0.000
B  0.500  0.292  0.208
B  0.500  0.208  0.708
B  0.500  0.708  0.792
B  0.500  0.792  0.292
I  0.000  0.146  0.354
Zr  0.000  0.500  0.500
I  0.000  0.646  0.146

## Properties
Final energy ... -224.7 eV for the cell shown
Volume ... 191.7 Å³/cell
Formation energy without anion corrections ... 1.34 eV/atom

Compound: YInOs2
Source: Alexandria
Functional: meta-GGA SCAN
Structure: PBEsol geometry

a b c (Å): 2.920 2.920 9.887
angles (deg): 81.51 81.51 60.00
Element x y z (fractional)
In  0.259  0.259  0.223
Os  0.741  0.741  0.778
Y  0.495  0.495  0.515
Os  0.006  0.006  0.983

## Properties
Final energy ... -202.9 eV for the cell shown
Volume ... 72.0 Å³/cell
ΔE_f ... 0.53 eV per atom

Compound: SrCa2La
Source: Alexandria
Functional: meta-GGA SCAN
Structure: PBEsol geometry

a b c (Å): 3.723 3.723 12.586
angles (deg): 90.00 90.00 111.34
Element x y z (fractional)
Ca  0.000  0.000  0.741
Sr  0.500  0.500  0.000
La  0.500  0.500  0.500
Ca  0.000  0.000  0.259

## Properties
Final energy ... -84.4 eV for the cell shown
Volume ... 162.5 Å³/cell
ΔE_f ... 0.09 eV per atom

Compound: Pd2Ru2I
Source: Alexandria
Functional: meta-GGA SCAN
Structure: PBEsol geometry

a b c (Å): 3.680 3.680 6.775
angles (deg): 105.76 105.76 90.00
Element x y z (fractional)
Ru  0.403  0.403  0.806
I  0.000  0.000  0.000
Ru  0.597  0.597  0.194
Pd  0.750  0.250  0.500
Pd  0.250  0.750  0.500

## Properties
Final energy ... -168.0 eV for the cell shown
Volume ... 84.7 Å³/cell
Formation energy without anion corrections ... 0.79 eV/atom

Compound: Ba2LiSi3
Source: Alexandria
Functional: meta-GGA SCAN
Structure: PBEsol geometry

a b c (Å): 8.681 8.707 10.516
angles (deg): 78.13 65.62 60.10
Element x y z (fractional)
Li  0.582  0.835  0.500
Si  0.342  0.316  0.000
Ba  0.124  0.500  0.752
Si  0.405  0.658  0.507
Si  0.662  0.158  0.993
Si  0.180  0.158  0.007
Ba  0.626  0.000  0.748
Si  0.092  0.816  0.500
Ba  0.376  0.500  0.248
Ba  0.874  0.500  0.251
Ba  0.876  0.000  0.249
Si  0.345  0.842  0.993
Si  0.812  0.842  0.007
Ba  0.124  0.000  0.751
Si  0.570  0.342  0.493
Si  0.658  0.684  0.000
Ba  0.626  0.500  0.749
Ba  0.374  0.000  0.252
Si  0.408  0.184  0.500
Li  0.168  0.665  0.000
Si  0.938  0.658  0.493
Li  0.832  0.335  0.000
Si  0.088  0.342  0.507
Li  0.918  0.165  0.500

## Properties
Final energy ... -457.3 eV for the cell shown
Volume ... 627.6 Å³/cell
Formation energy without anion corrections ... -0.47 eV/atom

Compound: ScGa2BiBr
Source: Alexandria
Functional: meta-GGA SCAN
Structure: PBEsol geometry

a b c (Å): 4.888 5.379 5.379
angles (deg): 90.00 90.00 90.00
Element x y z (fractional)
Br  0.500  0.000  0.000
Ga  0.000  0.500  0.000
Ga  0.000  0.000  0.500
Sc  0.000  0.000  0.000
Bi  0.500  0.500  0.500

## Properties
Final energy ... -144.1 eV for the cell shown
Volume ... 141.4 Å³/cell
Formation energy without anion corrections ... 0.17 eV/atom